Entry 1:
# LiTl2HgGe PBE optimized geometry
data_LiTl2HgGe
_space_group_name_H-M_alt 'P 4/m m m'
_space_group_IT_number 123
_space_group_name_Hall '-P 4 2'
_cell_length_a 5.147
_cell_length_b 5.147
_cell_length_c 4.928
_cell_angle_alpha 90.00
_cell_angle_beta 90.00
_cell_angle_gamma 90.00
loop_
_atom_site_label
_atom_site_type_symbol
_atom_site_fract_x
_atom_site_fract_y
_atom_site_fract_z
Li1 Li 0.000 0.000 0.000
Tl1 Tl 0.000 0.500 0.000
Hg1 Hg 0.000 0.000 0.500
Ge1 Ge 0.500 0.500 0.500
# Calculated volume in Å³ per cell: 130.6
# Total DFT energy (no corrections) in eV per atom: -2.01
# ΔH_f (0 K) in eV/atom: 0.3023

Entry 2:
# Er2HfS PBE optimized geometry
data_Er2HfS
_space_group_name_H-M_alt 'R -3 m'
_space_group_IT_number 166
_space_group_name_Hall '-R 3 2"'
_cell_length_a 3.4897
_cell_length_b 3.4897
_cell_length_c 28.8628
_cell_angle_alpha 90.00
_cell_angle_beta 90.00
_cell_angle_gamma 120.00
loop_
_atom_site_label
_atom_site_type_symbol
_atom_site_fract_x
_atom_site_fract_y
_atom_site_fract_z
Er1 Er 0.0000 0.0000 0.1068
Hf1 Hf 0.0000 0.0000 0.0000
S1 S 0.0000 0.0000 0.5000
# Calculated volume in Å³ per cell: 304.4
# Total DFT energy (no corrections) in eV per atom: -6.27

Entry 3:
# Ba2CaRe PBE optimized geometry
data_Ba2CaRe
_space_group_name_H-M_alt 'I -4 m 2'
_space_group_IT_number 119
_space_group_name_Hall 'I -4 -2'
_cell_length_a 5.245
_cell_length_b 5.245
_cell_length_c 9.345
_cell_angle_alpha 90.00
_cell_angle_beta 90.00
_cell_angle_gamma 90.00
loop_
_atom_site_label
_atom_site_type_symbol
_atom_site_fract_x
_atom_site_fract_y
_atom_site_fract_z
Ba1 Ba 0.000 0.000 0.000
Ba2 Ba 0.000 0.500 0.250
Ca1 Ca 0.000 0.500 0.750
Re1 Re 0.000 0.000 0.500
# Calculated volume in Å³ per cell: 257.1
# Polymorph energy (0 for the lowest one) in eV/f.u.: 0.81
# Total DFT energy (no corrections) in eV per atom: -3.59
# ΔH_f (0 K) in eV/atom: 0.9799

Entry 4:
# SrCaTe PBE optimized geometry
data_SrCaTe
_space_group_name_H-M_alt 'I 4 m m'
_space_group_IT_number 107
_space_group_name_Hall 'I 4 -2'
_cell_length_a 4.025
_cell_length_b 4.025
_cell_length_c 13.945
_cell_angle_alpha 90.00
_cell_angle_beta 90.00
_cell_angle_gamma 90.00
loop_
_atom_site_label
_atom_site_type_symbol
_atom_site_fract_x
_atom_site_fract_y
_atom_site_fract_z
Sr1 Sr 0.000 0.000 0.000
Ca1 Ca 0.000 0.000 0.272
Te1 Te 0.000 0.000 0.649
# Calculated volume in Å³ per cell: 225.9
# Polymorph energy (0 for the lowest one) in eV/f.u.: 0.15
# Total DFT energy (no corrections) in eV per atom: -3.24

Entry 5:
# Hf2CoTeCl PBE optimized geometry
data_Hf2CoTeCl
_space_group_name_H-M_alt 'P 4/m m m'
_space_group_IT_number 123
_space_group_name_Hall '-P 4 2'
_cell_length_a 4.637
_cell_length_b 4.637
_cell_length_c 5.397
_cell_angle_alpha 90.00
_cell_angle_beta 90.00
_cell_angle_gamma 90.00
loop_
_atom_site_label
_atom_site_type_symbol
_atom_site_fract_x
_atom_site_fract_y
_atom_site_fract_z
Hf1 Hf 0.000 0.500 0.000
Co1 Co 0.000 0.000 0.500
Te1 Te 0.500 0.500 0.500
Cl1 Cl 0.500 0.500 0.000
# Calculated volume in Å³ per cell: 116.1
# Total DFT energy (no corrections) in eV per atom: -5.51

Entry 6:
# Mg8PdAu2 PBE optimized geometry
data_Mg8PdAu2
_space_group_name_H-M_alt 'I m m m'
_space_group_IT_number 71
_space_group_name_Hall '-I 2 2'
_cell_length_a 4.511
_cell_length_b 7.544
_cell_length_c 12.605
_cell_angle_alpha 90.00
_cell_angle_beta 90.00
_cell_angle_gamma 90.00
loop_
_atom_site_label
_atom_site_type_symbol
_atom_site_fract_x
_atom_site_fract_y
_atom_site_fract_z
Mg1 Mg 0.000 0.000 0.143
Mg2 Mg 0.000 0.222 0.344
Mg3 Mg 0.000 0.305 0.000
Pd1 Pd 0.000 0.500 0.500
Au1 Au 0.000 0.500 0.192
# Calculated volume in Å³ per cell: 429.0
# Polymorph energy (0 for the lowest one) in eV/f.u.: 0.05
# Total DFT energy (no corrections) in eV per atom: -2.65
# ΔH_f (0 K) in eV/atom: -0.4205

Entry 7:
# Cs2CSBr6 PBE optimized geometry
data_Cs2CSBr6
_space_group_name_H-M_alt 'I 4/m m m'
_space_group_IT_number 139
_space_group_name_Hall '-I 4 2'
_cell_length_a 7.300
_cell_length_b 7.300
_cell_length_c 10.872
_cell_angle_alpha 90.00
_cell_angle_beta 90.00
_cell_angle_gamma 90.00
loop_
_atom_site_label
_atom_site_type_symbol
_atom_site_fract_x
_atom_site_fract_y
_atom_site_fract_z
Cs1 Cs 0.000 0.500 0.250
C1 C 0.000 0.000 0.000
S1 S 0.000 0.000 0.500
Br1 Br 0.000 0.000 0.227
Br2 Br 0.243 0.243 0.000
# Calculated volume in Å³ per cell: 579.3
# Total DFT energy (no corrections) in eV per atom: -2.70

Entry 8:
# CePmEu2 PBE optimized geometry
data_CePmEu2
_space_group_name_H-M_alt 'F m -3 m'
_space_group_IT_number 225
_space_group_name_Hall '-F 4 2 3'
_cell_length_a 8.380
_cell_length_b 8.380
_cell_length_c 8.380
_cell_angle_alpha 90.00
_cell_angle_beta 90.00
_cell_angle_gamma 90.00
loop_
_atom_site_label
_atom_site_type_symbol
_atom_site_fract_x
_atom_site_fract_y
_atom_site_fract_z
Ce1 Ce 0.000 0.000 0.000
Pm1 Pm 0.000 0.000 0.500
Eu1 Eu 0.250 0.250 0.250
# Calculated volume in Å³ per cell: 588.6
# Polymorph energy (0 for the lowest one) in eV/f.u.: 0.17
# Total DFT energy (no corrections) in eV per atom: -7.59
# ΔH_f (0 K) in eV/atom: 0.2201

Entry 9:
# PrYPb2 PBE optimized geometry
data_PrYPb2
_space_group_name_H-M_alt 'P 4/m m m'
_space_group_IT_number 123
_space_group_name_Hall '-P 4 2'
_cell_length_a 5.097
_cell_length_b 5.097
_cell_length_c 4.551
_cell_angle_alpha 90.00
_cell_angle_beta 90.00
_cell_angle_gamma 90.00
loop_
_atom_site_label
_atom_site_type_symbol
_atom_site_fract_x
_atom_site_fract_y
_atom_site_fract_z
Pr1 Pr 0.000 0.000 0.000
Y1 Y 0.500 0.500 0.000
Pb1 Pb 0.000 0.500 0.500
# Calculated volume in Å³ per cell: 118.2
# Total DFT energy (no corrections) in eV per atom: -5.15
# ΔH_f (0 K) in eV/atom: -0.4867

Entry 10:
# SbRh2Br PBE optimized geometry
data_SbRh2Br
_space_group_name_H-M_alt 'P 1 2/m 1'
_space_group_IT_number 10
_cell_length_a 3.409
_cell_length_b 3.187
_cell_length_c 7.247
_cell_angle_alpha 90.00
_cell_angle_beta 90.09
_cell_angle_gamma 90.00
loop_
_space_group_symop_operation_xyz
'x,y,z'
'-x,-y,-z'
'-x,y,-z'
'x,-y,z'
loop_
_atom_site_label
_atom_site_type_symbol
_atom_site_fract_x
_atom_site_fract_y
_atom_site_fract_z
Sb1 Sb 0.000 0.000 0.000
Rh1 Rh 0.499 0.500 0.807
Br1 Br 0.500 0.000 0.500
# Calculated volume in Å³ per cell: 78.7
# Polymorph energy (0 for the lowest one) in eV/f.u.: 0.36
# Total DFT energy (no corrections) in eV per atom: -5.19

Entry 11:
# CdIn2Ge2Pd5 PBE optimized geometry
data_CdIn2Ge2Pd5
_space_group_name_H-M_alt 'P 4/m b m'
_space_group_IT_number 127
_space_group_name_Hall '-P 4 2ab'
_cell_length_a 10.090
_cell_length_b 10.090
_cell_length_c 3.524
_cell_angle_alpha 90.00
_cell_angle_beta 90.00
_cell_angle_gamma 90.00
loop_
_atom_site_label
_atom_site_type_symbol
_atom_site_fract_x
_atom_site_fract_y
_atom_site_fract_z
Cd1 Cd 0.000 0.000 0.000
In1 In 0.173 0.327 0.000
Ge1 Ge 0.137 0.637 0.000
Pd1 Pd 0.000 0.500 0.500
Pd2 Pd 0.015 0.784 0.500
# Calculated volume in Å³ per cell: 358.8
# Total DFT energy (no corrections) in eV per atom: -4.49
# ΔH_f (0 K) in eV/atom: -0.3333

Entry 12:
# Sc3TaH8 PBE optimized geometry
data_Sc3TaH8
_space_group_name_H-M_alt 'I 4/m m m'
_space_group_IT_number 139
_space_group_name_Hall '-I 4 2'
_cell_length_a 4.670
_cell_length_b 4.670
_cell_length_c 9.314
_cell_angle_alpha 90.00
_cell_angle_beta 90.00
_cell_angle_gamma 90.00
loop_
_atom_site_label
_atom_site_type_symbol
_atom_site_fract_x
_atom_site_fract_y
_atom_site_fract_z
Sc1 Sc 0.000 0.000 0.000
Sc2 Sc 0.000 0.500 0.250
Ta1 Ta 0.000 0.000 0.500
H1 H 0.241 0.241 0.380
# Calculated volume in Å³ per cell: 203.2
# Total DFT energy (no corrections) in eV per atom: -5.38

What did the second record say?
# Er2HfS PBE optimized geometry
data_Er2HfS
_space_group_name_H-M_alt 'R -3 m'
_space_group_IT_number 166
_space_group_name_Hall '-R 3 2"'
_cell_length_a 3.4897
_cell_length_b 3.4897
_cell_length_c 28.8628
_cell_angle_alpha 90.00
_cell_angle_beta 90.00
_cell_angle_gamma 120.00
loop_
_atom_site_label
_atom_site_type_symbol
_atom_site_fract_x
_atom_site_fract_y
_atom_site_fract_z
Er1 Er 0.0000 0.0000 0.1068
Hf1 Hf 0.0000 0.0000 0.0000
S1 S 0.0000 0.0000 0.5000
# Calculated volume in Å³ per cell: 304.4
# Total DFT energy (no corrections) in eV per atom: -6.27